Material: SrZnFeP2O8
Method: DFT, PBE with a Hubbard U
State: relaxed

Results
* E: -6.816 eV per atom
* total magnetization: 8.00 μB per cell

a = 5.5346 Å, b = 6.9426 Å, c = 9.4980 Å
α = 107.63°, β = 105.55°, γ = 98.18°
Each line ends with the local moment (μB).
Sites, in units of the cell vectors:
Sr: 0.8029 0.2507 0.0486  0.00
Sr: 0.1971 0.7493 0.9514  0.00
Zn: 0.6476 0.2613 0.6419  0.00
Zn: 0.3524 0.7387 0.3581  0.00
Fe: 0.9276 0.7149 0.5564  3.77
Fe: 0.0724 0.2851 0.4436  3.77
P: 0.8356 0.8079 0.2272  0.01
P: 0.1644 0.1921 0.7728  0.01
P: 0.4599 0.2773 0.3001  0.00
P: 0.5401 0.7227 0.6999  0.00
O: 0.1039 0.3475 0.9051  0.00
O: 0.5461 0.7420 0.2132  0.00
O: 0.0999 0.9673 0.7701  0.02
O: 0.7390 0.5798 0.6943  0.02
O: 0.4539 0.2580 0.7868  0.00
O: 0.5761 0.8362 0.5829  0.02
O: 0.4239 0.1638 0.4171  0.02
O: 0.6035 0.8704 0.8674  0.00
O: 0.9001 0.0327 0.2299  0.02
O: 0.3965 0.1296 0.1326  0.00
O: 0.8961 0.6525 0.0949  0.00
O: 0.0207 0.8017 0.3853  0.02
O: 0.9793 0.1983 0.6147  0.02
O: 0.7435 0.4139 0.3637  0.04
O: 0.2610 0.4202 0.3057  0.02
O: 0.2565 0.5861 0.6363  0.04